(1)
VASP calculation (PBE) on BaBe2Hg after structural relaxation.

It has space group P4/mmm (No. 123), with a = 3.478 Å, b = 3.478 Å, c = 7.215 Å, α = 90.00°, β = 90.00° and γ = 90.00°. Symmetry generates all atoms from Ba at (0.000, 0.000, 0.000), Be at (0.500, 0.500, 0.343) and Hg at (0.000, 0.000, 0.500).

Its total magnetic moment is 0.00 μB per formula unit. The energy relative to the elements comes out at 12.11 kcal/mol of atoms.

=====

(2)
VASP calculation (PBE) on Zr3Cr2 after structural relaxation.

It has space group P-3m1 (No. 164), with a = 4.5825 Å, b = 4.5825 Å, c = 5.5668 Å, α = 90.00°, β = 90.00° and γ = 120.00°. Symmetry generates all atoms from Zr at (0.0000, 0.0000, 0.0000), Zr at (0.3333, 0.6667, 0.3475) and Cr at (0.3333, 0.6667, 0.8597).

The calculation puts the excess energy over the best structure of this formula in the dataset at 34.4 meV/atom. Its total magnetic moment is 3.95 μB per formula unit. The energy relative to the elements comes out at 8.26 kcal/mol of atoms.

=====

(3)
VASP calculation (PBE) on VFeCo after structural relaxation.

It has space group R-3m (No. 166, hexagonal axes), with a = 2.5356 Å, b = 2.5356 Å, c = 39.3865 Å, α = 90.00°, β = 90.00° and γ = 120.00°. Symmetry generates all atoms from V at (0.0000, 0.0000, 0.2447), Fe at (0.0000, 0.0000, 0.3057) and Co at (0.0000, 0.0000, 0.1415).

The calculation puts the excess energy over the best structure of this formula in the dataset at 333.2 meV/atom. Its total magnetic moment is 3.51 μB per formula unit. The energy relative to the elements comes out at 5.65 kcal/mol of atoms.

=====

(4)
VASP calculation (PBE) on CeGdPuOs after structural relaxation.

It has space group F-43m (No. 216), with a = 7.126 Å, b = 7.126 Å, c = 7.126 Å, α = 90.00°, β = 90.00° and γ = 90.00°. Symmetry generates all atoms from Ce at (0.000, 0.000, 0.000), Gd at (0.000, 0.000, 0.500), Pu at (0.250, 0.250, 0.750) and Os at (0.250, 0.250, 0.250).

Its total magnetic moment is 0.26 μB per formula unit. The energy relative to the elements comes out at 2.83 kcal/mol of atoms.

=====

(5)
VASP calculation (PBE) on Ca2TaAs after structural relaxation.

It has space group Immm (No. 71), with a = 3.583 Å, b = 3.781 Å, c = 16.912 Å, α = 90.00°, β = 90.00° and γ = 90.00°. Symmetry generates all atoms from Ca at (0.000, 0.000, 0.157), Ta at (0.000, 0.500, 0.000) and As at (0.000, 0.500, 0.500).

Its total magnetic moment is 0.00 μB per formula unit. The energy relative to the elements comes out at -1.09 kcal/mol of atoms.

=====

(6)
VASP calculation (PBE) on DyHoSc after structural relaxation.

It has space group P4/nmm (No. 129, origin choice 2), with a = 4.697 Å, b = 4.697 Å, c = 8.320 Å, α = 90.00°, β = 90.00° and γ = 90.00°. Symmetry generates all atoms from Dy at (0.250, 0.750, 0.000), Ho at (0.250, 0.250, 0.312) and Sc at (0.250, 0.250, 0.709).

The calculation puts the excess energy over the best structure of this formula in the dataset at 227.6 meV/atom. Its total magnetic moment is 0.00 μB per formula unit. The energy relative to the elements comes out at 5.74 kcal/mol of atoms.

=====

> total magnetic moment of number 6 (DyHoSc)?

0.00 μB per formula unit